# 1
{"formula": "MoN3Cl", "functional": "meta-GGA SCAN", "state": "single point on PBEsol structure", "e_tot_ev_per_fu": -58.0, "cell": [[3.6068, 0.0000, 0.0000], [0.0000, 3.6068, 0.0000], [0.0000, 0.0000, 3.6068]], "species": ["Mo", "N", "N", "N", "Cl"], "fractional_positions": [[0.0000, 0.0000, 0.0000], [0.0000, 0.5000, 0.5000], [0.5000, 0.0000, 0.5000], [0.5000, 0.5000, 0.0000], [0.5000, 0.5000, 0.5000]]}

# 2
{"formula": "TeMoN2Cl", "functional": "meta-GGA SCAN", "state": "single point on PBEsol structure", "e_tot_ev_per_fu": -86.8, "cell": [[3.9416, 0.0000, 0.0000], [0.0000, 3.9416, 0.0000], [0.0000, 0.0000, 4.9702]], "species": ["Te", "Mo", "N", "N", "Cl"], "fractional_positions": [[0.0000, 0.0000, 0.0000], [0.5000, 0.5000, 0.0000], [0.0000, 0.5000, 0.5000], [0.5000, 0.0000, 0.5000], [0.0000, 0.0000, 0.5000]]}

# 3
{"formula": "NbMoP2Cl", "functional": "meta-GGA SCAN", "state": "single point on PBEsol structure", "e_tot_ev_per_fu": -93.5, "cell": [[4.6288, 0.0000, 0.0000], [0.0000, 4.6288, 0.0000], [0.0000, 0.0000, 4.6217]], "species": ["Nb", "Mo", "P", "P", "Cl"], "fractional_positions": [[0.0000, 0.0000, 0.0000], [0.5000, 0.5000, 0.5000], [0.0000, 0.5000, 0.5000], [0.5000, 0.0000, 0.5000], [0.5000, 0.5000, 0.0000]]}

# 4
{"formula": "NbMoSCl2", "functional": "meta-GGA SCAN", "state": "single point on PBEsol structure", "e_tot_ev_per_fu": -92.0, "cell": [[4.7097, 0.0000, 0.0000], [0.0000, 4.7097, 0.0000], [0.0000, 0.0000, 4.6389]], "species": ["Nb", "Mo", "S", "Cl", "Cl"], "fractional_positions": [[0.0000, 0.0000, 0.0000], [0.5000, 0.5000, 0.5000], [0.5000, 0.5000, 0.0000], [0.0000, 0.5000, 0.5000], [0.5000, 0.0000, 0.5000]]}

# 5
{"formula": "Nb2MoWCl", "functional": "meta-GGA SCAN", "state": "single point on PBEsol structure", "e_tot_ev_per_fu": -169.9, "cell": [[4.9358, 0.0000, 0.0000], [0.0000, 4.9358, 0.0000], [0.0000, 0.0000, 4.3741]], "species": ["Nb", "Nb", "Mo", "W", "Cl"], "fractional_positions": [[0.0000, 0.5000, 0.0000], [0.5000, 0.0000, 0.0000], [0.0000, 0.0000, 0.5000], [0.5000, 0.5000, 0.0000], [0.5000, 0.5000, 0.5000]]}

# 6
{"formula": "Nd5Te7MoCl3O23", "functional": "meta-GGA SCAN", "state": "single point on PBEsol structure", "e_tot_ev_per_fu": -765.8, "cell": [[3.8036, -9.0187, 0.0000], [3.8036, 9.0187, 0.0000], [-2.2085, 0.0000, 18.0242]], "species": ["Nd", "Nd", "Nd", "Nd", "Nd", "Nd", "Nd", "Nd", "Nd", "Nd", "Te", "Te", "Te", "Te", "Te", "Te", "Te", "Te", "Te", "Te", "Te", "Te", "Te", "Te", "Mo", "Mo", "Cl", "Cl", "Cl", "Cl", "Cl", "Cl", "O", "O", "O", "O", "O", "O", "O", "O", "O", "O", "O", "O", "O", "O", "O", "O", "O", "O", "O", "O", "O", "O", "O", "O", "O", "O", "O", "O", "O", "O", "O", "O", "O", "O", "O", "O", "O", "O", "O", "O", "O", "O", "O", "O", "O", "O"], "fractional_positions": [[0.0000, 0.0000, 0.0000], [0.0113, 0.7216, 0.3624], [0.0582, 0.0611, 0.2378], [0.2331, 0.4992, 0.3626], [0.2784, 0.9887, 0.6376], [0.4551, 0.4238, 0.7629], [0.5008, 0.7669, 0.6374], [0.5108, 0.4892, 0.0000], [0.5762, 0.5449, 0.2371], [0.9389, 0.9418, 0.7622], [0.0520, 0.2052, 0.6090], [0.1211, 0.3984, 0.1410], [0.1530, 0.4064, 0.8843], [0.3596, 0.0837, 0.1135], [0.3931, 0.0926, 0.8609], [0.4589, 0.2827, 0.3914], [0.5936, 0.8470, 0.1157], [0.6016, 0.8789, 0.8590], [0.7173, 0.5411, 0.6086], [0.7537, 0.2444, 0.2632], [0.7556, 0.2463, 0.7368], [0.7948, 0.9480, 0.3910], [0.9074, 0.6069, 0.1391], [0.9163, 0.6404, 0.8865], [0.0214, 0.5097, 0.5237], [0.4903, 0.9786, 0.4763], [0.0566, 0.9434, 0.5000], [0.1910, 0.6793, 0.7895], [0.2562, 0.7438, 0.0000], [0.3207, 0.8090, 0.2105], [0.4553, 0.5447, 0.5000], [0.7222, 0.2778, 0.0000], [0.0509, 0.1673, 0.1134], [0.0607, 0.3863, 0.4707], [0.0742, 0.8865, 0.1077], [0.1135, 0.9258, 0.8923], [0.1569, 0.2710, 0.8078], [0.1710, 0.1423, 0.6632], [0.1741, 0.3112, 0.9677], [0.2328, 0.4530, 0.6600], [0.2388, 0.4219, 0.2339], [0.2429, 0.7313, 0.5760], [0.2687, 0.7571, 0.4240], [0.2722, 0.0658, 0.7669], [0.2774, 0.0357, 0.3394], [0.3307, 0.1803, 0.0333], [0.3423, 0.3472, 0.3368], [0.3530, 0.2156, 0.1910], [0.4000, 0.5626, 0.1095], [0.4374, 0.6000, 0.8905], [0.4503, 0.1013, 0.5292], [0.4546, 0.3198, 0.8867], [0.5177, 0.0063, 0.6924], [0.5470, 0.7672, 0.3400], [0.5756, 0.3371, 0.6701], [0.5781, 0.7612, 0.7661], [0.6137, 0.9393, 0.5293], [0.6406, 0.1296, 0.4120], [0.6510, 0.2926, 0.8092], [0.6528, 0.6577, 0.6632], [0.6629, 0.4244, 0.3299], [0.6802, 0.5454, 0.1133], [0.6888, 0.8259, 0.0323], [0.7074, 0.3490, 0.1908], [0.7290, 0.8431, 0.1922], [0.7844, 0.6470, 0.8090], [0.7991, 0.1433, 0.8112], [0.8197, 0.6693, 0.9667], [0.8327, 0.9491, 0.8866], [0.8492, 0.0631, 0.6711], [0.8567, 0.2009, 0.1888], [0.8577, 0.8290, 0.3368], [0.8704, 0.3594, 0.5880], [0.8987, 0.5497, 0.4708], [0.9342, 0.7278, 0.2331], [0.9369, 0.1508, 0.3289], [0.9643, 0.7226, 0.6606], [0.9937, 0.4823, 0.3076]]}

# 7
{"formula": "NiMoCl2", "functional": "meta-GGA SCAN", "state": "single point on PBEsol structure", "e_tot_ev_per_fu": -65.6, "cell": [[2.8607, 0.0000, 0.0000], [0.0000, 4.0617, 0.0000], [0.0000, 0.0000, 10.9640]], "species": ["Ni", "Ni", "Mo", "Mo", "Cl", "Cl", "Cl", "Cl"], "fractional_positions": [[0.0000, 0.0000, 0.0000], [0.5000, 0.5000, 0.5000], [0.0000, 0.5000, 0.3109], [0.5000, 0.0000, 0.8109], [0.0000, 0.0000, 0.6178], [0.0000, 0.5000, 0.8452], [0.5000, 0.0000, 0.3452], [0.5000, 0.5000, 0.1178]]}

# 8
{"formula": "NiMoCl3", "functional": "meta-GGA SCAN", "state": "single point on PBEsol structure", "e_tot_ev_per_fu": -73.7, "cell": [[4.7660, 0.0000, 0.0000], [0.0000, 4.7660, 0.0000], [0.0000, 0.0000, 4.7660]], "species": ["Ni", "Mo", "Cl", "Cl", "Cl"], "fractional_positions": [[0.0000, 0.0000, 0.0000], [0.5000, 0.5000, 0.5000], [0.0000, 0.5000, 0.5000], [0.5000, 0.0000, 0.5000], [0.5000, 0.5000, 0.0000]]}